A geometry-optimized NaPPtO structure. Source: the Open Quantum Materials Database, functional PBE.

Values from the calculation:
**Spin magnetization**: 0.29 μB/cell
**Energy above the lowest structure with this stoichiometry**: 220 meV/atom
**Calculated total energy**: -38.031 eV for the cell shown

Cell lengths 4.0329, 4.0329, 6.6519 Å; angles 90.00, 90.00, 90.00 degrees
Closest atoms and distances in Å follow each position.
Space group P4/nmm (No. 129, origin choice 2)
Inequivalent atoms, fractional coordinates:
Na  0.2500  0.2500  0.1384  4 O 2.22
P  0.2500  0.2500  0.7262  4 Pt 2.52, 4 O 2.72, 1 Na 2.74
Pt  0.2500  0.7500  0.5000  4 P 2.52
O  0.2500  0.7500  0.0000  4 Na 2.22